Record 1
Material: NaPa2Se6
Method: DFT, GGA-PBE
State: optimized geometry

Structure (extended XYZ):
```
18
Lattice="6.773 0.000 0.000 0.000 6.773 0.000 0.000 0.000 12.696" Properties=species:S:1:pos:R:3 pbc="T T T"
Na 0.000 0.000 0.000
Na 3.387 3.387 6.348
Pa 0.000 0.000 4.241
Pa 0.000 0.000 8.455
Pa 3.387 3.387 2.107
Pa 3.387 3.387 10.588
Se 1.260 1.260 6.348
Se 1.433 1.433 2.348
Se 1.433 1.433 10.348
Se 1.954 4.819 4.000
Se 1.954 4.819 8.696
Se 2.126 4.647 0.000
Se 4.647 2.126 0.000
Se 4.819 1.954 4.000
Se 4.819 1.954 8.696
Se 5.341 5.341 2.348
Se 5.341 5.341 10.348
Se 5.513 5.513 6.348
```

uncorrected formation energy	-1.11	eV per atom
total magnetization	0.0	μB/f.u.
density of states at the Fermi level	5.39	states/eV/f.u.
symmetry	P4_2/mnm

***

Record 2
Material: Na3Pa4Se8
Method: DFT, GGA-PBE
State: optimized geometry

Structure (extended XYZ):
```
15
Lattice="5.807 -5.806 0.000 5.807 5.806 0.000 -5.719 0.000 5.878" Properties=species:S:1:pos:R:3 pbc="T T T"
Na 0.000 0.000 0.000
Na 2.903 2.903 0.000
Na 2.903 -2.903 0.000
Pa 0.044 2.903 2.939
Pa 0.044 -2.903 2.939
Pa 5.807 0.000 0.000
Pa 2.948 0.000 2.939
Se -0.013 0.000 2.952
Se 2.948 2.908 2.939
Se 5.807 2.895 0.000
Se 2.990 0.000 0.108
Se 2.905 0.000 5.770
Se 5.807 -2.895 0.000
Se 2.948 -2.908 2.939
Se 5.909 0.000 2.926
```

uncorrected formation energy	-1.25	eV per atom
total magnetization	5.3	μB/f.u.
density of states at the Fermi level	23.68	states/eV/f.u.
symmetry	C2/m

***

Record 3
Material: NaPaSe2
Method: DFT, GGA-PBE
State: optimized geometry

Structure (extended XYZ):
```
4
Lattice="3.573 0.000 0.000 0.000 3.573 0.000 0.000 0.000 7.432" Properties=species:S:1:pos:R:3 pbc="T T T"
Na 0.000 0.000 0.000
Pa 0.000 0.000 3.716
Se 1.786 1.786 2.043
Se 1.786 1.786 5.390
```

uncorrected formation energy	-1.19	eV per atom
total magnetization	1.3	μB/f.u.
density of states at the Fermi level	4.33	states/eV/f.u.
symmetry	P4/mmm

***

Record 4
Material: Na2SmPa2Se6
Method: DFT, GGA-PBE
State: optimized geometry

Structure (extended XYZ):
```
11
Lattice="3.600 -6.231 0.000 3.600 6.231 0.000 -2.342 0.000 7.123" Properties=species:S:1:pos:R:3 pbc="T T T"
Na 3.600 4.176 0.000
Na 3.600 -4.176 0.000
Sm -1.171 0.000 3.562
Pa 2.430 2.029 3.562
Pa 2.430 -2.029 3.562
Se 0.049 2.142 5.186
Se 1.253 0.000 1.887
Se 0.049 -2.142 5.186
Se 4.810 2.142 1.937
Se 3.606 0.000 5.236
Se 4.810 -2.142 1.937
```

uncorrected formation energy	-1.43	eV per atom
total magnetization	3.0	μB/f.u.
density of states at the Fermi level	11.24	states/eV/f.u.
symmetry	C2/m

***

Question: Look up the total magnetization of the first one.
Answer: 0.0 μB/f.u.